Record 1
Entry from Alexandria: TlTe2Rh after structural relaxation (PBE-GGA).

Output
Total moment = 0.00 μB per atom
Calculated volume = 29.40 Å³/atom
Calculated density = 7.94 Mg/m³
Raw formation energy = -200 meV per atom

The structure in CIF format:
```
data_TlTe2Rh
_symmetry_space_group_name_H-M 'C 1 m 1'
_symmetry_Int_Tables_number 8
_cell_length_a 12.0753
_cell_length_b 3.9638
_cell_length_c 5.3608
_cell_angle_alpha 90.00
_cell_angle_beta 113.57
_cell_angle_gamma 90.00
loop_
_symmetry_equiv_pos_as_xyz
'x,y,z'
'x,-y,z'
'x+1/2,y+1/2,z'
'x+1/2,-y+1/2,z'
loop_
_atom_site_label
_atom_site_fract_x
_atom_site_fract_y
_atom_site_fract_z
Tl1 0.0000 0.0000 0.0000
Te1 0.1509 0.5000 0.6037
Te2 0.3071 0.5000 0.3060
Rh1 0.2240 0.0000 0.9567
```

***

Record 2
Entry from Alexandria: TlTe2Rh after structural relaxation (PBE-GGA).

Output
Total moment = 0.00 μB per atom
Calculated volume = 23.93 Å³/atom
Calculated density = 9.76 Mg/m³
Raw formation energy = 337 meV per atom

The structure in CIF format:
```
data_TlTe2Rh
_symmetry_space_group_name_H-M 'F m -3 m'
_symmetry_Int_Tables_number 225
_symmetry_space_group_name_Hall '-F 4 2 3'
_cell_length_a 7.2610
_cell_length_b 7.2610
_cell_length_c 7.2610
_cell_angle_alpha 90.00
_cell_angle_beta 90.00
_cell_angle_gamma 90.00
loop_
_atom_site_label
_atom_site_fract_x
_atom_site_fract_y
_atom_site_fract_z
Tl1 0.0000 0.0000 0.0000
Te1 0.2500 0.2500 0.2500
Rh1 0.0000 0.0000 0.5000
```

***

Record 3
Entry from Alexandria: TlTe2Rh after structural relaxation (PBE-GGA).

Output
Total moment = 0.00 μB per atom
Calculated volume = 27.78 Å³/atom
Calculated density = 8.41 Mg/m³
Raw formation energy = -335 meV per atom

The structure in CIF format:
```
data_TlTe2Rh
_symmetry_space_group_name_H-M 'R 3 m'
_symmetry_Int_Tables_number 160
_symmetry_space_group_name_Hall 'R 3 -2"'
_cell_length_a 4.0818
_cell_length_b 4.0818
_cell_length_c 23.1044
_cell_angle_alpha 90.00
_cell_angle_beta 90.00
_cell_angle_gamma 120.00
loop_
_atom_site_label
_atom_site_fract_x
_atom_site_fract_y
_atom_site_fract_z
Tl1 0.0000 0.0000 0.0000
Te1 0.0000 0.0000 0.5517
Te2 0.0000 0.0000 0.7713
Rh1 0.0000 0.0000 0.1614
```

***

Record 4
Entry from Alexandria: TlTe2Rh after structural relaxation (PBE-GGA).

Output
Total moment = 0.00 μB per atom
Calculated volume = 26.13 Å³/atom
Calculated density = 8.94 Mg/m³
Raw formation energy = -31 meV per atom

The structure in CIF format:
```
data_TlTe2Rh
_symmetry_space_group_name_H-M 'R 3 m'
_symmetry_Int_Tables_number 160
_symmetry_space_group_name_Hall 'R 3 -2"'
_cell_length_a 3.8098
_cell_length_b 3.8098
_cell_length_c 24.9473
_cell_angle_alpha 90.00
_cell_angle_beta 90.00
_cell_angle_gamma 120.00
loop_
_atom_site_label
_atom_site_fract_x
_atom_site_fract_y
_atom_site_fract_z
Tl1 0.0000 0.0000 0.0000
Te1 0.0000 0.0000 0.2459
Te2 0.0000 0.0000 0.4679
Rh1 0.0000 0.0000 0.7465
```

***

Record 5
Entry from Alexandria: TlTe2Rh after structural relaxation (PBE-GGA).

Output
Total moment = 0.00 μB per atom
Calculated volume = 32.92 Å³/atom
Calculated density = 7.09 Mg/m³
Raw formation energy = 529 meV per atom

The structure in CIF format:
```
data_TlTe2Rh
_symmetry_space_group_name_H-M 'R -3 m'
_symmetry_Int_Tables_number 166
_symmetry_space_group_name_Hall '-R 3 2"'
_cell_length_a 4.1439
_cell_length_b 4.1439
_cell_length_c 26.5637
_cell_angle_alpha 90.00
_cell_angle_beta 90.00
_cell_angle_gamma 120.00
loop_
_atom_site_label
_atom_site_fract_x
_atom_site_fract_y
_atom_site_fract_z
Tl1 0.0000 0.0000 0.0000
Te1 0.0000 0.0000 0.4065
Rh1 0.0000 0.0000 0.5000
```

***

Record 6
Entry from Alexandria: TlTe2Rh after structural relaxation (PBE-GGA).

Output
Total moment = 0.00 μB per atom
Calculated volume = 24.05 Å³/atom
Calculated density = 9.71 Mg/m³
Raw formation energy = 301 meV per atom

The structure in CIF format:
```
data_TlTe2Rh
_symmetry_space_group_name_H-M 'P 4/m m m'
_symmetry_Int_Tables_number 123
_symmetry_space_group_name_Hall '-P 4 2'
_cell_length_a 5.3215
_cell_length_b 5.3215
_cell_length_c 3.3965
_cell_angle_alpha 90.00
_cell_angle_beta 90.00
_cell_angle_gamma 90.00
loop_
_atom_site_label
_atom_site_fract_x
_atom_site_fract_y
_atom_site_fract_z
Tl1 0.0000 0.0000 0.0000
Te1 0.0000 0.5000 0.5000
Rh1 0.5000 0.5000 0.0000
```

***

Record 7
Entry from Alexandria: TlTe2Rh after structural relaxation (PBE-GGA).

Output
Total moment = 0.00 μB per atom
Calculated volume = 34.37 Å³/atom
Calculated density = 6.79 Mg/m³
Raw formation energy = -127 meV per atom

The structure in CIF format:
```
data_TlTe2Rh
_symmetry_space_group_name_H-M 'I -4 2 d'
_symmetry_Int_Tables_number 122
_symmetry_space_group_name_Hall 'I -4 2bw'
_cell_length_a 6.7542
_cell_length_b 6.7542
_cell_length_c 12.0539
_cell_angle_alpha 90.00
_cell_angle_beta 90.00
_cell_angle_gamma 90.00
loop_
_atom_site_label
_atom_site_fract_x
_atom_site_fract_y
_atom_site_fract_z
Tl1 0.0000 0.0000 0.0000
Te1 0.1744 0.2500 0.6250
Rh1 0.0000 0.0000 0.5000
```

***

Record 8
Entry from Alexandria: Tl2TeRh after structural relaxation (PBE-GGA).

Output
Total moment = 0.00 μB per atom
Excess energy over the best structure of this formula in the dataset = 88 meV/atom
Calculated volume = 26.65 Å³/atom
Calculated density = 9.96 Mg/m³
Raw formation energy = -26 meV per atom

The structure in CIF format:
```
data_Tl2TeRh
_symmetry_space_group_name_H-M 'I m m m'
_symmetry_Int_Tables_number 71
_symmetry_space_group_name_Hall '-I 2 2'
_cell_length_a 3.3315
_cell_length_b 4.4328
_cell_length_c 14.4350
_cell_angle_alpha 90.00
_cell_angle_beta 90.00
_cell_angle_gamma 90.00
loop_
_atom_site_label
_atom_site_fract_x
_atom_site_fract_y
_atom_site_fract_z
Tl1 0.0000 0.0000 0.1753
Te1 0.0000 0.5000 0.0000
Rh1 0.0000 0.5000 0.5000
```

***

Record 9
Entry from Alexandria: TlTe3Rh after structural relaxation (PBE-GGA).

Output
Total moment = 0.00 μB per atom
Excess energy over the best structure of this formula in the dataset = 0 meV/atom
Calculated volume = 30.49 Å³/atom
Calculated density = 7.52 Mg/m³
Raw formation energy = 115 meV per atom

The structure in CIF format:
```
data_TlTe3Rh
_symmetry_space_group_name_H-M 'P m -3 m'
_symmetry_Int_Tables_number 221
_symmetry_space_group_name_Hall '-P 4 2 3'
_cell_length_a 5.3419
_cell_length_b 5.3419
_cell_length_c 5.3419
_cell_angle_alpha 90.00
_cell_angle_beta 90.00
_cell_angle_gamma 90.00
loop_
_atom_site_label
_atom_site_fract_x
_atom_site_fract_y
_atom_site_fract_z
Tl1 0.0000 0.0000 0.0000
Te1 0.0000 0.5000 0.5000
Rh1 0.5000 0.5000 0.5000
```

***

Record 10
Entry from Alexandria: UTl3Te6Rh2 after structural relaxation (PBE-GGA).

Output
Total moment = 0.14 μB per atom
Calculated volume = 29.64 Å³/atom
Calculated density = 8.51 Mg/m³
Raw formation energy = -372 meV per atom

The structure in CIF format:
```
data_UTl3Te6Rh2
_symmetry_space_group_name_H-M 'C 1 2/m 1'
_symmetry_Int_Tables_number 12
_cell_length_a 6.8075
_cell_length_b 11.8718
_cell_length_c 9.1421
_cell_angle_alpha 90.00
_cell_angle_beta 105.66
_cell_angle_gamma 90.00
loop_
_symmetry_equiv_pos_as_xyz
'x,y,z'
'-x,-y,-z'
'-x,y,-z'
'x,-y,z'
'x+1/2,y+1/2,z'
'-x+1/2,-y+1/2,-z'
'-x+1/2,y+1/2,-z'
'x+1/2,-y+1/2,z'
loop_
_atom_site_label
_atom_site_fract_x
_atom_site_fract_y
_atom_site_fract_z
U1 0.0000 0.0000 0.0000
Tl1 0.0000 0.1572 0.5000
Tl2 0.0000 0.5000 0.5000
Te1 0.1973 0.5000 0.1846
Te2 0.2494 0.3158 0.8127
Rh1 0.0000 0.3336 0.0000
```

***

Record 11
Entry from Alexandria: U3Tl3Te8Rh after structural relaxation (PBE-GGA).

Output
Total moment = 0.52 μB per atom
Calculated volume = 35.12 Å³/atom
Calculated density = 7.73 Mg/m³
Raw formation energy = -456 meV per atom

The structure in CIF format:
```
data_U3Tl3Te8Rh
_symmetry_space_group_name_H-M 'R -3 m'
_symmetry_Int_Tables_number 166
_symmetry_space_group_name_Hall '-R 3 2"'
_cell_length_a 8.3975
_cell_length_b 8.3975
_cell_length_c 25.8761
_cell_angle_alpha 90.00
_cell_angle_beta 90.00
_cell_angle_gamma 120.00
loop_
_atom_site_label
_atom_site_fract_x
_atom_site_fract_y
_atom_site_fract_z
U1 0.0000 0.5000 0.0000
Tl1 0.0000 0.5000 0.5000
Te1 0.0000 0.0000 0.2597
Te2 0.0280 0.5140 0.7333
Rh1 0.0000 0.0000 0.0000
```

***

Record 12
Entry from Alexandria: TlZnTe2Rh after structural relaxation (PBE-GGA).

Output
Total moment = 0.16 μB per atom
Calculated volume = 28.50 Å³/atom
Calculated density = 7.32 Mg/m³
Raw formation energy = 757 meV per atom

The structure in CIF format:
```
data_TlZnTe2Rh
_symmetry_space_group_name_H-M 'P 4/m m m'
_symmetry_Int_Tables_number 123
_symmetry_space_group_name_Hall '-P 4 2'
_cell_length_a 5.2988
_cell_length_b 5.2988
_cell_length_c 5.0762
_cell_angle_alpha 90.00
_cell_angle_beta 90.00
_cell_angle_gamma 90.00
loop_
_atom_site_label
_atom_site_fract_x
_atom_site_fract_y
_atom_site_fract_z
Tl1 0.0000 0.0000 0.0000
Zn1 0.0000 0.0000 0.5000
Te1 0.0000 0.5000 0.5000
Rh1 0.5000 0.5000 0.0000
```